A plane-wave DFT calculation with PBE was carried out for crystalline RbCaCo2Br8 at its relaxed geometry. Values from VASP.

Quantum ESPRESSO input file:
```
&SYSTEM
  ibrav = 0, nat = 12, ntyp = 4
/
ATOMIC_SPECIES
Rb 85.47 Rb.upf
Ca 40.08 Ca.upf
Co 58.93 Co.upf
Br 79.90 Br.upf
ATOMIC_POSITIONS angstrom
Rb 6.885 3.975 5.009
Ca 0.000 0.000 0.000
Co 3.442 1.987 2.481
Co 10.327 5.962 7.537
Br 3.442 1.987 4.804
Br 5.701 2.049 1.744
Br 10.327 5.962 5.214
Br 9.145 3.912 1.744
Br 4.625 4.038 8.274
Br 5.809 5.964 1.744
Br 7.961 1.986 8.274
Br 8.069 5.901 8.274
CELL_PARAMETERS angstrom
6.885 0.000 0.000
3.442 5.962 0.000
3.442 1.987 10.018
```

Summary:
raw formation energy	-0.956	eV/atom
DOS(E_F)	1.15	states/eV per atom

***

A plane-wave DFT calculation with PBE was carried out for crystalline RbCa2CoBr8 at its relaxed geometry. Values from VASP.

Quantum ESPRESSO input file:
```
&SYSTEM
  ibrav = 0, nat = 12, ntyp = 4
/
ATOMIC_SPECIES
Rb 85.47 Rb.upf
Ca 40.08 Ca.upf
Co 58.93 Co.upf
Br 79.90 Br.upf
ATOMIC_POSITIONS angstrom
Rb 4.024 1.909 -0.746
Ca 6.601 3.700 3.468
Ca 2.462 1.729 4.263
Co 0.000 0.000 0.000
Br 3.271 -1.103 4.283
Br 8.970 4.631 5.340
Br 0.780 4.147 4.343
Br 5.792 6.532 3.448
Br 0.093 0.798 2.391
Br 8.283 1.283 3.389
Br 4.976 2.432 5.484
Br 4.087 2.998 2.248
CELL_PARAMETERS angstrom
-1.528 4.893 4.130
2.542 -3.281 5.094
8.049 3.817 -1.493
```

Summary:
raw formation energy	-1.267	eV/atom

***

A plane-wave DFT calculation with PBE was carried out for crystalline CaCoReBr2 at its relaxed geometry. Values from VASP.

Quantum ESPRESSO input file:
```
&SYSTEM
  ibrav = 0, nat = 5, ntyp = 4
/
ATOMIC_SPECIES
Re 186.21 Re.upf
Ca 40.08 Ca.upf
Co 58.93 Co.upf
Br 79.90 Br.upf
ATOMIC_POSITIONS angstrom
Re 2.191 -0.720 -0.066
Ca 1.337 -3.496 1.871
Co 0.000 0.000 0.000
Br -0.085 -0.481 2.420
Br -0.769 -2.295 -0.483
CELL_PARAMETERS angstrom
-1.537 -4.591 -0.966
4.382 -1.440 -0.131
-0.171 -0.961 4.839
```

Summary:
raw formation energy	0.506	eV/atom
DOS(E_F)	0.78	states/eV per atom